VASP calculation (PBE-GGA) on crystalline LaGaBi at its relaxed geometry.

abc: 6.3206 6.3206 6.5656
angles: 90.00 90.00 137.95
Closest atoms and distances in Å follow each position.
Positions (direct):
La 0.1452 0.8548 0.7500  4 Ga 3.28, 5 Bi 3.28-3.39
La 0.8548 0.1452 0.2500  4 Ga 3.28, 5 Bi 3.28-3.39
Ga 0.5000 0.5000 0.0000  4 Bi 3.26, 4 La 3.28, 2 Ga 3.28
Ga 0.5000 0.5000 0.5000  4 Bi 3.26, 4 La 3.28, 2 Ga 3.28
Bi 0.1417 0.8583 0.2500  4 Ga 3.26, 5 La 3.28-3.39
Bi 0.8583 0.1417 0.7500  4 Ga 3.26, 5 La 3.28-3.39

Results
Symmetry: Cmcm
Energy in eV/atom: -4.60